Entry 1:
This record from Alexandria describes crystalline AcEuCu4 at its relaxed geometry. The functional is GGA-PBE.

Calculated values
formation energy: -0.02 eV per atom
E: -5.1435 eV per atom
crystal system: cubic

Structure (CIF):
```
data_AcEuCu4
_chemical_formula_sum 'Ac1 Eu1 Cu4'
_cell_length_a 5.498
_cell_length_b 5.498
_cell_length_c 5.498
_cell_angle_alpha 60.00
_cell_angle_beta 60.00
_cell_angle_gamma 60.00
_symmetry_space_group_name_H-M 'P 1'
_symmetry_Int_Tables_number 1
loop_
_symmetry_equiv_pos_as_xyz
'x,y,z'
loop_
_atom_site_label
_atom_site_type_symbol
_atom_site_fract_x
_atom_site_fract_y
_atom_site_fract_z
Cu1 Cu 0.627 0.118 0.627
Cu2 Cu 0.627 0.627 0.627
Cu3 Cu 0.118 0.627 0.627
Cu4 Cu 0.627 0.627 0.118
Ac1 Ac 0.250 0.250 0.250
Eu1 Eu 0.000 0.000 0.000
```

Entry 2:
This record from Alexandria describes crystalline AcEuCuHg at its relaxed geometry. The functional is GGA-PBE.

Calculated values
formation energy: -0.27 eV per atom
E: -4.9696 eV per atom
crystal system: cubic

Structure (CIF):
```
data_AcEuCuHg
_chemical_formula_sum 'Ac1 Eu1 Cu1 Hg1'
_cell_length_a 5.479
_cell_length_b 5.479
_cell_length_c 5.479
_cell_angle_alpha 60.00
_cell_angle_beta 60.00
_cell_angle_gamma 60.00
_symmetry_space_group_name_H-M 'P 1'
_symmetry_Int_Tables_number 1
loop_
_symmetry_equiv_pos_as_xyz
'x,y,z'
loop_
_atom_site_label
_atom_site_type_symbol
_atom_site_fract_x
_atom_site_fract_y
_atom_site_fract_z
Ac1 Ac 0.500 0.500 0.500
Hg1 Hg 0.750 0.750 0.750
Cu1 Cu 0.250 0.250 0.250
Eu1 Eu 0.000 0.000 0.000
```

Entry 3:
This record from Alexandria describes crystalline LiAcEuCu at its relaxed geometry. The functional is GGA-PBE.

Calculated values
formation energy: 0.03 eV per atom
E: -5.0731 eV per atom
crystal system: cubic

Structure (CIF):
```
data_LiAcEuCu
_chemical_formula_sum 'Li1 Ac1 Eu1 Cu1'
_cell_length_a 5.421
_cell_length_b 5.421
_cell_length_c 5.421
_cell_angle_alpha 60.00
_cell_angle_beta 60.00
_cell_angle_gamma 60.00
_symmetry_space_group_name_H-M 'P 1'
_symmetry_Int_Tables_number 1
loop_
_symmetry_equiv_pos_as_xyz
'x,y,z'
loop_
_atom_site_label
_atom_site_type_symbol
_atom_site_fract_x
_atom_site_fract_y
_atom_site_fract_z
Li1 Li 0.750 0.750 0.750
Ac1 Ac 0.000 0.000 0.000
Eu1 Eu 0.500 0.500 0.500
Cu1 Cu 0.250 0.250 0.250
```

Entry 4:
This record from Alexandria describes crystalline AcEuCuPt at its relaxed geometry. The functional is GGA-PBE.

Calculated values
formation energy: -0.55 eV per atom
E: -6.6844 eV per atom
crystal system: cubic

Structure (CIF):
```
data_AcEuCuPt
_chemical_formula_sum 'Ac1 Eu1 Cu1 Pt1'
_cell_length_a 5.239
_cell_length_b 5.239
_cell_length_c 5.239
_cell_angle_alpha 60.00
_cell_angle_beta 60.00
_cell_angle_gamma 60.00
_symmetry_space_group_name_H-M 'P 1'
_symmetry_Int_Tables_number 1
loop_
_symmetry_equiv_pos_as_xyz
'x,y,z'
loop_
_atom_site_label
_atom_site_type_symbol
_atom_site_fract_x
_atom_site_fract_y
_atom_site_fract_z
Cu1 Cu 0.250 0.250 0.250
Pt1 Pt 0.750 0.750 0.750
Ac1 Ac 0.500 0.500 0.500
Eu1 Eu 0.000 0.000 0.000
```

Entry 5:
This record from Alexandria describes crystalline AcEuCuRu at its relaxed geometry. The functional is GGA-PBE.

Calculated values
formation energy: 0.02 eV per atom
E: -6.9214 eV per atom
crystal system: cubic

Structure (CIF):
```
data_AcEuCuRu
_chemical_formula_sum 'Ac1 Eu1 Cu1 Ru1'
_cell_length_a 5.145
_cell_length_b 5.145
_cell_length_c 5.145
_cell_angle_alpha 60.00
_cell_angle_beta 60.00
_cell_angle_gamma 60.00
_symmetry_space_group_name_H-M 'P 1'
_symmetry_Int_Tables_number 1
loop_
_symmetry_equiv_pos_as_xyz
'x,y,z'
loop_
_atom_site_label
_atom_site_type_symbol
_atom_site_fract_x
_atom_site_fract_y
_atom_site_fract_z
Cu1 Cu 0.250 0.250 0.250
Eu1 Eu 0.000 0.000 0.000
Ru1 Ru 0.750 0.750 0.750
Ac1 Ac 0.500 0.500 0.500
```

Entry 6:
This record from Alexandria describes crystalline AcEuCuSb at its relaxed geometry. The functional is GGA-PBE.

Calculated values
raw formation energy: -507 meV/atom
E: -6.1573 eV per atom
crystal system: cubic

Structure (CIF):
```
data_AcEuCuSb
_chemical_formula_sum 'Ac1 Eu1 Cu1 Sb1'
_cell_length_a 5.516
_cell_length_b 5.516
_cell_length_c 5.516
_cell_angle_alpha 60.00
_cell_angle_beta 60.00
_cell_angle_gamma 60.00
_symmetry_space_group_name_H-M 'P 1'
_symmetry_Int_Tables_number 1
loop_
_symmetry_equiv_pos_as_xyz
'x,y,z'
loop_
_atom_site_label
_atom_site_type_symbol
_atom_site_fract_x
_atom_site_fract_y
_atom_site_fract_z
Cu1 Cu 0.250 0.250 0.250
Eu1 Eu 0.000 0.000 0.000
Sb1 Sb 0.750 0.750 0.750
Ac1 Ac 0.500 0.500 0.500
```

Entry 7:
This record from Alexandria describes crystalline AcEuCuSi at its relaxed geometry. The functional is GGA-PBE.

Calculated values
raw formation energy: -302 meV/atom
E: -6.2771 eV per atom
crystal system: cubic

Structure (CIF):
```
data_AcEuCuSi
_chemical_formula_sum 'Ac1 Eu1 Cu1 Si1'
_cell_length_a 5.308
_cell_length_b 5.308
_cell_length_c 5.308
_cell_angle_alpha 60.00
_cell_angle_beta 60.00
_cell_angle_gamma 60.00
_symmetry_space_group_name_H-M 'P 1'
_symmetry_Int_Tables_number 1
loop_
_symmetry_equiv_pos_as_xyz
'x,y,z'
loop_
_atom_site_label
_atom_site_type_symbol
_atom_site_fract_x
_atom_site_fract_y
_atom_site_fract_z
Si1 Si 0.750 0.750 0.750
Ac1 Ac 0.500 0.500 0.500
Eu1 Eu 0.000 0.000 0.000
Cu1 Cu 0.250 0.250 0.250
```

Entry 8:
This record from Alexandria describes crystalline AcEuZnCu at its relaxed geometry. The functional is GGA-PBE.

Calculated values
formation energy: -0.16 eV per atom
E: -5.1011 eV per atom
crystal system: cubic

Structure (CIF):
```
data_AcEuZnCu
_chemical_formula_sum 'Ac1 Eu1 Zn1 Cu1'
_cell_length_a 5.357
_cell_length_b 5.357
_cell_length_c 5.357
_cell_angle_alpha 60.00
_cell_angle_beta 60.00
_cell_angle_gamma 60.00
_symmetry_space_group_name_H-M 'P 1'
_symmetry_Int_Tables_number 1
loop_
_symmetry_equiv_pos_as_xyz
'x,y,z'
loop_
_atom_site_label
_atom_site_type_symbol
_atom_site_fract_x
_atom_site_fract_y
_atom_site_fract_z
Eu1 Eu 0.000 0.000 0.000
Cu1 Cu 0.250 0.250 0.250
Ac1 Ac 0.500 0.500 0.500
Zn1 Zn 0.750 0.750 0.750
```

Q: What is the E in the third record?
A: -5.0731 eV per atom